Entry 1:
A plane-wave DFT calculation with PBE-GGA was carried out for crystalline BaCr3P at its relaxed geometry.

a b c (Å): 5.084 5.084 5.084
angles (deg): 90.00 90.00 90.00
Fractional coordinates of all 5 atoms:
Cr1 0.000 0.500 0.000
Cr2 0.000 0.000 0.500
Cr3 0.500 0.000 0.000
Ba1 0.000 0.000 0.000
P1 0.500 0.500 0.500

Energy relative to the lowest polymorph listed for this composition ... 1990 meV/atom
Calculated volume ... 26.29 Å³/atom
Formation enthalpy at 0 K ... 249 kJ/mol of atoms
Total magnetic moment ... 11.25 μB/f.u.
SG ... No. 221



Entry 2:
A plane-wave DFT calculation with PBE-GGA was carried out for crystalline BaCrP2 at its relaxed geometry.

a b c (Å): 5.308 5.308 5.308
angles (deg): 132.23 104.61 94.34
Fractional coordinates of all 4 atoms:
Ba1 0.250 0.750 0.500
Cr1 0.750 0.250 0.500
P1 0.906 0.906 0.000
P2 0.594 0.594 0.000

Energy relative to the lowest polymorph listed for this composition ... 216 meV/atom
Calculated volume ... 25.17 Å³/atom
Formation enthalpy at 0 K ... -37 kJ/mol of atoms
Total magnetic moment ... 3.88 μB/f.u.
SG ... No. 71



Entry 3:
A plane-wave DFT calculation with PBE-GGA was carried out for crystalline BaCrP2 at its relaxed geometry.

a b c (Å): 3.514 3.516 7.643
angles (deg): 90.00 90.00 90.00
Fractional coordinates of all 4 atoms:
Ba1 0.000 0.000 0.467
Cr1 0.500 0.500 0.921
P1 0.000 0.000 0.889
P2 0.500 0.500 0.223

Energy relative to the lowest polymorph listed for this composition ... 549 meV/atom
Calculated volume ... 23.61 Å³/atom
Formation enthalpy at 0 K ... -5 kJ/mol of atoms
Total magnetic moment ... 2.50 μB/f.u.
SG ... No. 99